3
Lattice="-0.888 3.716 1.179 -3.507 -0.234 -1.906 0.005 -3.618 4.627" Properties=species:S:1:pos:R:3 comment="LaBiRh PBE-GGA relaxed" crystal_system=tetragonal ef_ev_per_atom=-0.425 space_group="I4mm, No. 107" n_ef_per_ev_atom=0.36 volume_a3_per_atom=27.43 pbc="T T T"
Bi -1.190 -1.019 2.314
Rh -4.379 -0.127 3.880
La -2.553 1.437 0.327


8
Lattice="-0.352 -3.339 3.308 4.478 0.769 1.253 -0.603 4.760 8.097" Properties=species:S:1:pos:R:3 comment="LaBiRh2 PBE-GGA relaxed" crystal_system=tetragonal ef_ev_per_atom=-0.152 space_group="I-42d, No. 122" n_ef_per_ev_atom=1.08 volume_a3_per_atom=24.44 pbc="T T T"
Rh 3.290 1.344 10.101
Rh 2.614 1.352 3.123
Rh 0.179 -0.899 4.346
Rh 0.963 2.584 7.746
La 2.969 2.122 5.815
La 2.063 -1.285 2.280
Bi 0.000 0.000 0.000
Bi 0.554 0.068 6.843


12
Lattice="4.493 0.000 0.000 -2.247 3.891 0.000 0.000 0.000 16.885" Properties=species:S:1:pos:R:3 comment="La2BiRh3 PBE-GGA relaxed" crystal_system=hexagonal ef_ev_per_atom=-0.566 space_group="P6_3/mmc, No. 194" polymorph_energy_kcal_per_mol_atoms=0.000 n_ef_per_ev_atom=1.28 volume_a3_per_atom=24.60 pbc="T T T"
La 0.000 0.000 10.321
La 0.000 0.000 15.007
La 0.000 0.000 1.878
La 0.000 0.000 6.564
Rh 2.247 1.297 8.456
Rh 0.000 2.594 8.429
Rh 0.000 2.594 0.014
Rh 2.247 1.297 4.221
Rh 2.247 1.297 16.871
Rh 0.000 2.594 12.664
Bi 2.247 1.297 12.664
Bi 0.000 2.594 4.221


6
Lattice="-3.935 1.895 1.525 0.259 -6.318 1.502 2.833 2.370 4.362" Properties=species:S:1:pos:R:3 comment="LaBiRh PBE-GGA relaxed" crystal_system=monoclinic ef_ev_per_atom=-0.745 space_group="C2/m, No. 12" n_ef_per_ev_atom=0.54 volume_a3_per_atom=26.10 pbc="T T T"
Bi 1.935 0.943 3.820
Bi -2.778 -2.997 3.570
Rh -0.328 0.663 5.345
Rh -0.515 -2.716 2.045
La -1.571 0.199 2.714
La 0.728 -2.253 4.676


12
Lattice="5.213 0.000 0.000 0.000 4.708 1.071 0.000 2.489 11.506" Properties=species:S:1:pos:R:3 comment="LaBi2Rh3 PBE-GGA relaxed" crystal_system=monoclinic ef_ev_per_atom=-0.413 space_group="P2_1/m, No. 11" n_ef_per_ev_atom=0.51 volume_a3_per_atom=22.38 pbc="T T T"
La 1.303 3.064 3.021
La 3.910 4.134 9.555
Rh 1.303 2.131 7.174
Rh 3.910 5.067 5.403
Rh 1.303 0.897 0.397
Rh 3.910 3.034 3.530
Rh 3.910 6.301 12.180
Rh 1.303 4.164 9.046
Bi 3.910 2.397 6.243
Bi 3.910 1.038 1.571
Bi 1.303 4.801 6.333
Bi 1.303 6.159 11.006


80
Lattice="-5.598 -2.199 -14.221 -0.818 -13.210 7.952 -8.309 10.853 7.181" Properties=species:S:1:pos:R:3 comment="La12Bi3Rh5 PBE-GGA relaxed" crystal_system=cubic ef_ev_per_atom=-0.520 space_group="Ia-3d, No. 230" n_ef_per_ev_atom=1.03 volume_a3_per_atom=35.42 pbc="T T T"
Bi -6.819 -0.607 -4.207
Bi -10.037 1.812 -0.520
Bi -4.618 1.869 0.132
Bi -4.688 -6.367 1.433
Bi -6.550 -10.474 -5.581
Bi -10.107 -6.424 0.781
Bi -7.647 -3.693 10.566
Bi -5.544 -5.246 -6.786
Bi -9.181 0.691 7.698
Bi -7.906 -3.949 5.119
Bi -7.078 -0.862 -9.654
Bi -8.175 5.919 6.494
La -9.136 8.954 5.196
La -8.815 2.161 -3.790
La -12.319 3.905 -2.168
La -4.276 -2.821 -8.867
La -9.091 -0.719 -6.785
La -5.190 0.485 -7.116
La -8.206 -3.957 -8.671
La -8.837 2.809 5.013
La -7.336 3.477 8.764
La -5.001 2.241 -3.264
La -5.640 -3.253 2.533
La -9.471 -3.253 2.139
La -10.448 -1.735 9.779
La -5.588 -13.509 -4.284
La -3.952 -8.981 -0.676
La -1.766 -4.753 2.256
La -7.814 -10.690 -2.316
La -9.724 -6.796 4.177
La -5.910 -6.716 4.702
La -12.474 6.434 -5.924
La -2.251 -10.989 6.836
La -10.608 -1.988 5.940
La -10.773 4.426 1.588
La -7.461 0.425 1.415
La -5.888 -7.364 -4.100
La -10.343 3.506 -7.837
La -12.404 -4.259 -0.748
La -2.405 -8.460 3.081
La -4.382 -8.062 8.749
La -2.320 -0.296 1.661
La -4.117 -2.567 -5.027
La -7.263 -4.980 -0.502
La -7.392 -8.482 1.617
La -7.388 -8.033 -7.852
La -5.254 -1.302 -1.226
La -6.911 6.135 3.229
La -9.084 -1.302 -1.621
La -11.553 0.758 2.462
La -9.534 -5.040 8.028
La -7.333 3.926 -0.705
La -8.001 -3.851 -4.827
La -6.519 -0.598 9.584
La -6.724 -0.705 5.740
La -12.959 0.198 -1.343
La -10.150 -7.146 -2.580
La -4.575 2.590 3.493
La -5.634 -3.837 7.697
La -3.172 -5.313 -1.550
Rh -2.799 -1.099 -7.110
Rh -11.641 -2.040 -2.087
Rh 0.000 0.000 0.000
Rh -6.899 1.280 3.915
Rh -4.563 -1.178 7.567
Rh -3.084 -2.515 3.000
Rh -11.571 6.196 -3.388
Rh -11.382 -1.785 3.360
Rh -4.155 5.427 3.590
Rh -7.362 -2.278 0.456
Rh -4.429 -6.112 6.879
Rh -7.825 -5.835 -3.003
Rh -6.291 -10.219 -0.135
Rh -3.342 -2.770 -2.447
Rh -8.433 5.664 1.047
Rh -3.208 -7.704 -3.134
Rh -10.296 1.557 -5.967
Rh -6.954 4.327 -3.520
Rh -3.154 -10.751 4.301
Rh -0.409 -6.605 3.976


20
Lattice="4.437 0.000 -0.756 0.000 7.707 0.000 -0.056 0.000 13.072" Properties=species:S:1:pos:R:3 comment="La2Bi3Rh5 PBE-GGA relaxed" crystal_system=orthorhombic ef_ev_per_atom=-0.399 space_group="Cmc2_1, No. 36" n_ef_per_ev_atom=0.73 volume_a3_per_atom=22.34 pbc="T T T"
La 3.593 1.710 7.692
La 0.788 5.563 4.624
La 2.135 5.993 12.534
La 2.246 2.139 -0.218
Rh 0.237 4.957 1.392
Rh 2.672 6.695 2.281
Rh 3.110 2.891 4.852
Rh 3.191 7.387 5.332
Rh 1.272 6.745 7.464
Rh 0.534 2.521 3.133
Rh 4.144 1.103 10.924
Rh 1.190 3.533 6.984
Rh 3.847 6.375 9.183
Rh 1.709 2.841 10.035
Bi 3.451 5.082 6.858
Bi 2.688 3.961 2.378
Bi 0.930 1.229 5.458
Bi 1.693 0.108 9.938
Bi 4.100 4.003 10.663
Bi 0.282 0.150 1.653


10
Lattice="-2.535 3.028 2.554 2.455 -1.179 3.835 7.040 7.700 -2.140" Properties=species:S:1:pos:R:3 comment="La2Bi3SbRh4 PBE-GGA relaxed" crystal_system=tetragonal raw_formation_energy_ev_per_atom=-0.596 space_group="P-4m2, No. 115" n_ef_per_ev_atom=0.92 volume_a3_per_atom=23.56 pbc="T T T"
Sb 3.480 4.774 2.125
Rh 3.100 6.291 -0.050
Rh 3.900 2.333 1.105
Rh -0.040 0.924 3.194
Rh 0.000 0.000 0.000
Bi 3.520 3.850 -1.070
Bi 2.149 0.419 1.637
Bi 4.850 8.205 -0.582
La 6.538 5.219 0.303
La 0.462 3.405 0.752


10
Lattice="-1.198 3.944 -2.037 -4.438 -1.010 0.654 0.265 4.965 9.459" Properties=species:S:1:pos:R:3 comment="La2BiSb3Rh4 PBE-GGA relaxed" crystal_system=tetragonal raw_formation_energy_ev_per_atom=-0.782 space_group="P-4m2, No. 115" n_ef_per_ev_atom=0.90 volume_a3_per_atom=22.59 pbc="T T T"
Sb -0.368 6.305 7.236
Sb 0.132 2.483 4.730
Sb -2.185 0.128 1.532
Rh 0.000 0.000 0.000
Rh -2.121 1.321 3.806
Rh -2.818 1.467 -0.691
Rh -0.431 5.111 4.961
Bi -2.685 3.950 4.038
La -2.018 3.265 7.509
La -0.535 3.167 1.259


5
Lattice="-1.287 1.905 -4.632 -5.005 -0.662 1.119 -0.188 4.962 2.093" Properties=species:S:1:pos:R:3 comment="LaSn2BiRh PBE-GGA relaxed" crystal_system=tetragonal ef_ev_per_atom=-0.527 space_group="P4/mmm, No. 123" n_ef_per_ev_atom=0.55 volume_a3_per_atom=28.82 pbc="T T T"
Rh 0.000 0.000 0.000
Sn -0.644 0.953 -2.316
Sn -2.503 -0.331 0.559
Bi -3.240 3.103 -0.710
La -0.094 2.481 1.047


5
Lattice="-1.823 4.550 -3.043 -3.630 1.396 4.261 3.819 3.040 2.257" Properties=species:S:1:pos:R:3 comment="Sr2LaBiRh PBE-GGA relaxed" crystal_system=tetragonal ef_ev_per_atom=-0.528 space_group="P4/mmm, No. 123" n_ef_per_ev_atom=0.60 volume_a3_per_atom=35.80 pbc="T T T"
Sr -1.815 0.698 2.131
Sr -0.912 2.275 -1.522
La 1.909 1.520 1.129
Bi -0.817 4.493 1.738
Rh 0.000 0.000 0.000


5
Lattice="-3.041 -2.681 3.712 -2.251 -3.005 -4.014 3.789 -3.555 0.537" Properties=species:S:1:pos:R:3 comment="La2TlBiRh PBE-GGA relaxed" crystal_system=tetragonal ef_ev_per_atom=-0.651 space_group="P4/mmm, No. 123" n_ef_per_ev_atom=0.66 volume_a3_per_atom=31.56 pbc="T T T"
La -1.126 -1.503 -2.007
La -1.521 -1.340 1.856
Bi -0.751 -4.620 0.117
Tl 1.895 -1.778 0.268
Rh 0.000 0.000 0.000


5
Lattice="-0.193 -1.095 -5.456 3.634 -3.442 0.562 -3.851 -3.915 0.922" Properties=species:S:1:pos:R:3 comment="LaYBi2Rh PBE-GGA relaxed" crystal_system=tetragonal ef_ev_per_atom=-0.270 space_group="P4/mmm, No. 123" n_ef_per_ev_atom=0.84 volume_a3_per_atom=31.23 pbc="T T T"
Bi -0.096 -0.547 -2.728
Bi -1.925 -1.958 0.461
Rh 0.000 0.000 0.000
La 1.817 -1.721 0.281
Y -0.205 -4.226 -1.986


5
Lattice="-4.891 -3.705 -0.780 3.430 -4.589 2.331 -1.910 1.771 5.610" Properties=species:S:1:pos:R:3 comment="La3BiRu PBE-GGA relaxed" crystal_system=trigonal ef_ev_per_atom=0.127 space_group="R3m, No. 160" polymorph_energy_kcal_per_mol_atoms=16.521 n_ef_per_ev_atom=1.53 volume_a3_per_atom=47.20 pbc="T T T"
La -2.167 -1.882 0.121
La 1.172 -2.236 1.369
La -0.970 0.316 2.685
Ru -1.176 -2.276 2.499
Bi -3.178 -6.151 6.754


16
Lattice="6.463 0.000 0.000 0.000 6.724 -0.543 0.000 -2.442 11.018" Properties=species:S:1:pos:R:3 comment="La2BiRu PBE-GGA relaxed" crystal_system=monoclinic ef_ev_per_atom=-0.476 space_group="P2/c, No. 13" n_ef_per_ev_atom=0.71 volume_a3_per_atom=29.39 pbc="T T T"
Bi 1.146 -0.362 4.569
Bi 5.317 4.644 5.906
Bi 1.146 2.503 0.669
Bi 5.317 1.779 9.807
Ru 4.121 6.098 0.537
Ru 2.342 1.515 6.317
Ru 4.121 2.766 4.158
Ru 2.342 -1.817 9.938
La 4.279 2.654 1.754
La 1.205 2.895 3.936
La 2.184 4.795 6.991
La 5.258 -1.688 9.716
La 2.184 1.627 8.722
La 1.205 5.969 0.759
La 4.279 -0.513 3.484
La 5.258 1.386 6.540


5
Lattice="4.881 0.000 0.000 0.000 4.881 0.000 0.000 0.000 8.393" Properties=species:S:1:pos:R:3 comment="La3BiRu PBE-GGA relaxed" crystal_system=tetragonal ef_ev_per_atom=0.004 space_group="P4mm, No. 99" polymorph_energy_kcal_per_mol_atoms=13.674 n_ef_per_ev_atom=1.07 volume_a3_per_atom=39.98 pbc="T T T"
Ru 2.440 2.440 4.794
La 0.000 0.000 6.369
La 2.440 0.000 3.376
La 0.000 2.440 3.376
Bi 0.000 0.000 1.084


10
Lattice="4.538 0.000 6.108 -2.269 3.930 6.108 -2.269 -3.930 6.108" Properties=species:S:1:pos:R:3 comment="La3BiRu PBE-GGA relaxed" crystal_system=trigonal ef_ev_per_atom=-0.547 space_group="R-3c, No. 167" polymorph_energy_kcal_per_mol_atoms=0.985 n_ef_per_ev_atom=1.24 volume_a3_per_atom=32.67 pbc="T T T"
La 1.550 1.725 10.622
La 2.269 -0.480 7.568
La -2.269 0.480 10.622
La 0.719 -2.205 10.622
La -1.550 -1.725 7.568
La -0.719 2.205 7.568
Ru 0.000 0.000 9.095
Ru 0.000 0.000 18.257
Bi 0.000 0.000 13.676
Bi 0.000 0.000 4.514


20
Lattice="4.383 0.000 0.000 0.000 11.403 -3.507 0.000 -0.135 12.119" Properties=species:S:1:pos:R:3 comment="La6BiRu3 PBE-GGA relaxed" crystal_system=monoclinic ef_ev_per_atom=-0.390 space_group="P2_1/m, No. 11" n_ef_per_ev_atom=0.59 volume_a3_per_atom=30.18 pbc="T T T"
La 1.096 3.303 7.884
La 3.287 1.555 4.956
La 1.096 6.819 9.367
La 3.287 4.449 -0.755
La 1.096 9.712 3.656
La 1.096 2.597 2.021
La 3.287 8.670 6.591
La 1.096 6.047 2.932
La 1.096 0.708 10.827
La 3.287 7.964 0.728
La 3.287 10.559 -2.215
La 3.287 5.221 5.680
Ru 1.096 3.515 4.916
Ru 3.287 7.753 3.696
Ru 3.287 1.766 0.740
Ru 1.096 9.501 7.872
Ru 3.287 5.338 8.383
Ru 1.096 5.929 0.230
Bi 3.287 0.655 8.211
Bi 1.096 10.612 0.401


10
Lattice="-2.395 -0.327 5.954 2.284 -5.977 0.591 7.361 -0.006 6.429" Properties=species:S:1:pos:R:3 comment="La3BiRu PBE-GGA relaxed" crystal_system=tetragonal ef_ev_per_atom=-0.098 space_group="I-4m2, No. 119" polymorph_energy_kcal_per_mol_atoms=11.337 n_ef_per_ev_atom=0.51 volume_a3_per_atom=35.73 pbc="T T T"
La 2.167 -5.512 5.750
La 7.395 -5.180 6.158
La 3.351 -5.350 2.809
La 6.267 -2.227 5.866
La 4.177 -4.485 8.369
La 3.073 -1.825 4.604
Bi 3.988 -1.092 8.480
Bi 0.922 -2.393 7.175
Ru 0.000 0.000 0.000
Ru 4.795 -4.567 5.146